# 1
VASP calculation (PBE) on crystalline La5Pm2Tm6 at its relaxed geometry.

Results
Final energy (eV/cell): -119.38
Calculated formation energy (eV/atom): 0.0982
DOS at the Fermi energy (states/eV per atom): 1.306
Density (g/cm³): 7.56

a = 3.6207 Å, b = 11.6972 Å, c = 20.7311 Å
α = 90.00°, β = 90.00°, γ = 90.00°
Closest atoms and distances in Å follow each position.
Element x y z (fractional)
La 0.5000 0.0000 0.5000  6 Tm 3.41-3.51, 4 La 3.62-3.64
La 0.5000 0.0764 0.2253  5 Tm 3.40-3.53, 4 Pm 3.48-3.63, 2 La 3.62
La 0.5000 0.2012 0.9511  6 Tm 3.60-3.63, 3 La 3.62-3.64, 2 Pm 3.88
La 0.5000 0.7988 0.0489  6 Tm 3.60-3.63, 3 La 3.62-3.64, 2 Pm 3.88
La 0.5000 0.7012 0.5489  6 Tm 3.60-3.63, 3 La 3.62-3.64, 2 Pm 3.88
La 0.5000 0.5000 0.0000  6 Tm 3.41-3.51, 4 La 3.62-3.64
La 0.5000 0.2988 0.4511  6 Tm 3.60-3.63, 3 La 3.62-3.64, 2 Pm 3.88
La 0.5000 0.4236 0.7253  5 Tm 3.40-3.53, 4 Pm 3.48-3.63, 2 La 3.62
La 0.5000 0.5764 0.2747  5 Tm 3.40-3.53, 4 Pm 3.48-3.63, 2 La 3.62
La 0.5000 0.9236 0.7747  5 Tm 3.40-3.53, 4 Pm 3.48-3.63, 2 La 3.62
Pm 0.0000 0.8227 0.2136  3 Tm 3.35-3.62, 4 La 3.48-3.63, 2 Pm 3.62
Pm 0.0000 0.1773 0.7864  3 Tm 3.35-3.62, 4 La 3.48-3.63, 2 Pm 3.62
Pm 0.0000 0.3227 0.2864  3 Tm 3.35-3.62, 4 La 3.48-3.63, 2 Pm 3.62
Pm 0.0000 0.6773 0.7136  3 Tm 3.35-3.62, 4 La 3.48-3.63, 2 Pm 3.62
Tm 0.0000 0.0752 0.3673  1 Pm 3.35, 6 La 3.41-3.62, 4 Tm 3.50-3.62
Tm 0.0000 0.5629 0.4209  6 La 3.53-3.63, 5 Tm 3.60-3.69
Tm 0.0000 0.0629 0.0791  6 La 3.53-3.63, 5 Tm 3.60-3.69
Tm 0.0000 0.5752 0.1327  1 Pm 3.35, 6 La 3.41-3.62, 4 Tm 3.50-3.62
Tm 0.0000 0.9371 0.9209  6 La 3.53-3.63, 5 Tm 3.60-3.69
Tm 0.5000 0.1811 0.6353  2 La 3.40-3.51, 6 Tm 3.50-3.69, 2 Pm 3.62
Tm 0.0000 0.9248 0.6327  1 Pm 3.35, 6 La 3.41-3.62, 4 Tm 3.50-3.62
Tm 0.5000 0.6811 0.8647  2 La 3.40-3.51, 6 Tm 3.50-3.69, 2 Pm 3.62
Tm 0.0000 0.4371 0.5791  6 La 3.53-3.63, 5 Tm 3.60-3.69
Tm 0.0000 0.4248 0.8673  1 Pm 3.35, 6 La 3.41-3.62, 4 Tm 3.50-3.62
Tm 0.5000 0.3189 0.1353  2 La 3.40-3.51, 6 Tm 3.50-3.69, 2 Pm 3.62
Tm 0.5000 0.8189 0.3647  2 La 3.40-3.51, 6 Tm 3.50-3.69, 2 Pm 3.62

***

# 2
VASP calculation (PBE) on crystalline PaNb2Rh at its relaxed geometry.

Results
Final energy (eV/cell): -36.00
Calculated formation energy (eV/atom): 0.2472
DOS at the Fermi energy (states/eV per atom): 1.364
Density (g/cm³): 11.27
Relative energy among the computed polymorphs (kJ/mol of formula units): 103

a = 2.9686 Å, b = 2.9686 Å, c = 10.1763 Å
α = 81.61°, β = 81.61°, γ = 60.00°
Closest atoms and distances in Å follow each position.
Element x y z (fractional)
Nb 0.9057 0.9057 0.2829  3 Rh 2.77, 1 Pa 2.84, 6 Nb 2.97
Nb 0.0943 0.0943 0.7171  3 Rh 2.77, 1 Pa 2.84, 6 Nb 2.97
Pa 0.0000 0.0000 0.0000  2 Nb 2.84, 6 Pa 2.97
Rh 0.5000 0.5000 0.5000  6 Nb 2.77, 6 Rh 2.97

***

# 3
VASP calculation (PBE) on crystalline Rb3VBr6 at its relaxed geometry.

Results
Final energy (eV/cell): -35.43
DOS at the Fermi energy (states/eV per atom): 1.129
Density (g/cm³): 3.24
Formation energy from raw total energies (kJ/mol of atoms): -128.97
Relative energy among the computed polymorphs (kJ/mol of formula units): 49

a = 7.6905 Å, b = 7.6905 Å, c = 8.4840 Å
α = 111.31°, β = 111.31°, γ = 101.44°
Closest atoms and distances in Å follow each position.
Element x y z (fractional)
V 0.0000 0.0000 0.0000  6 Br 2.56-2.58
Rb 0.2500 0.7500 0.5000  4 Br 3.47
Rb 0.7500 0.2500 0.5000  4 Br 3.47
Rb 0.5000 0.5000 0.0000  6 Br 3.37-3.54
Br 0.9427 0.9427 0.2592  1 V 2.56
Br 0.7830 0.2170 0.0000  1 V 2.58
Br 0.6835 0.6835 0.7408  1 V 2.56
Br 0.0573 0.0573 0.7408  1 V 2.56
Br 0.3165 0.3165 0.2592  1 V 2.56
Br 0.2170 0.7830 0.0000  1 V 2.58

***

# 4
VASP calculation (PBE) on crystalline Rb2Pu3MgO12 at its relaxed geometry.

Results
Final energy (eV/cell): -149.01
DOS at the Fermi energy (states/eV per atom): 0.164
Density (g/cm³): 5.87
Formation energy from raw total energies (kJ/mol of atoms): -230.42

a = 7.4450 Å, b = 7.4450 Å, c = 7.4450 Å
α = 63.85°, β = 63.85°, γ = 63.85°
Closest atoms and distances in Å follow each position.
Element x y z (fractional)
O 0.6792 0.0667 0.6792  2 Pu 2.11
O 0.6795 0.0629 0.0629  1 Pu 1.88, 1 Mg 2.09
O 0.3205 0.9371 0.9371  1 Pu 1.88, 1 Mg 2.09
O 0.9333 0.3208 0.3208  2 Pu 2.11
O 0.6792 0.6792 0.0667  2 Pu 2.11
O 0.3208 0.3208 0.9333  2 Pu 2.11
O 0.9371 0.3205 0.9371  1 Pu 1.88, 1 Mg 2.09
O 0.9371 0.9371 0.3205  1 Pu 1.88, 1 Mg 2.09
O 0.3208 0.9333 0.3208  2 Pu 2.11
O 0.0629 0.6795 0.0629  1 Pu 1.88, 1 Mg 2.09
O 0.0667 0.6792 0.6792  2 Pu 2.11
O 0.0629 0.0629 0.6795  1 Pu 1.88, 1 Mg 2.09
Rb 0.3749 0.3749 0.3749  9 O 3.30-3.69
Rb 0.6251 0.6251 0.6251  9 O 3.30-3.69
Pu 0.0000 0.0000 0.5000  2 O 1.88
Pu 0.0000 0.5000 0.0000  2 O 1.88
Pu 0.5000 0.0000 0.0000  2 O 1.88
Mg 0.0000 0.0000 0.0000  6 O 2.09

***

# 5
VASP calculation (PBE) on crystalline Mg3RhAu at its relaxed geometry.

Results
Final energy (eV/cell): -35.54
Calculated formation energy (eV/atom): -0.4717
DOS at the Fermi energy (states/eV per atom): 0.458
Density (g/cm³): 7.13
Relative energy among the computed polymorphs (kJ/mol of formula units): 0

a = 4.6430 Å, b = 4.6494 Å, c = 8.3643 Å
α = 90.00°, β = 106.00°, γ = 90.00°
Closest atoms and distances in Å follow each position.
Element x y z (fractional)
Mg 0.5776 0.3445 0.4363  2 Rh 2.70, 2 Au 2.73, 1 Mg 3.00
Mg 0.0727 0.8443 0.4267  2 Rh 2.74, 2 Au 2.77, 5 Mg 3.02-3.07
Mg 0.7641 0.3444 0.8097  4 Au 2.78-2.80, 4 Rh 2.81-2.84, 2 Mg 3.00-3.04
Mg 0.9530 0.3443 0.1878  2 Rh 2.74, 2 Au 2.77, 5 Mg 3.02-3.07
Mg 0.2616 0.8444 0.8048  4 Au 2.78-2.80, 4 Rh 2.81-2.84, 2 Mg 3.00-3.04
Mg 0.4481 0.8445 0.1783  2 Rh 2.70, 2 Au 2.73, 1 Mg 3.00
Au 0.6670 0.8445 0.6149  8 Mg 2.73-2.80
Au 0.3586 0.3445 0.9996  8 Mg 2.73-2.80
Rh 0.8622 0.8443 0.0072  8 Mg 2.70-2.84
Rh 0.1634 0.3443 0.6074  8 Mg 2.70-2.84

***

# 6
VASP calculation (PBE) on crystalline Tb4NiGe8 at its relaxed geometry.

Results
Final energy (eV/cell): -69.81
Calculated formation energy (eV/atom): -0.6591
DOS at the Fermi energy (states/eV per atom): 0.392
Density (g/cm³): 7.91

a = 4.0036 Å, b = 4.1131 Å, c = 16.2511 Å
α = 90.00°, β = 90.00°, γ = 90.00°
Closest atoms and distances in Å follow each position.
Element x y z (fractional)
Ge 0.5000 0.5000 0.0465  2 Ge 2.60
Ge 0.0000 0.0000 0.7479  4 Ge 2.87, 4 Tb 3.09-3.12
Ge 0.0000 0.5000 0.9444  2 Ge 2.60
Ge 0.5000 0.0000 0.5580  2 Ge 2.58
Ge 0.5000 0.5000 0.7535  4 Ge 2.87, 4 Tb 3.08-3.12
Ge 0.0000 0.5000 0.2401  2 Ni 2.39
Ge 0.0000 0.0000 0.4582  1 Ni 2.34, 2 Ge 2.58
Ge 0.5000 0.0000 0.2397  2 Ni 2.34
Tb 0.5000 0.0000 0.8949  10 Ge 2.98-3.21
Tb 0.0000 0.5000 0.6062  10 Ge 2.98-3.16
Tb 0.5000 0.5000 0.3960  10 Ge 3.04-3.34, 4 Ni 3.16
Tb 0.0000 0.0000 0.1031  10 Ge 2.99-3.30
Ni 0.0000 0.0000 0.3145  5 Ge 2.34-2.39

***

# 7
VASP calculation (PBE) on crystalline GdPuTcRh at its relaxed geometry.

Results
Final energy (eV/cell): -47.06
Calculated formation energy (eV/atom): -0.2316
DOS at the Fermi energy (states/eV per atom): 1.406
Density (g/cm³): 12.53

a = 4.8331 Å, b = 4.8331 Å, c = 4.8331 Å
α = 60.00°, β = 60.00°, γ = 60.00°
Closest atoms and distances in Å follow each position.
Element x y z (fractional)
Rh 0.0000 0.0000 0.0000  4 Gd 2.96, 4 Pu 2.96
Pu 0.2500 0.2500 0.2500  4 Tc 2.96, 4 Rh 2.96
Gd 0.7500 0.7500 0.7500  4 Tc 2.96, 4 Rh 2.96
Tc 0.5000 0.5000 0.5000  4 Pu 2.96, 4 Gd 2.96

***

# 8
VASP calculation (PBE) on crystalline Na3Sm2BiS6 at its relaxed geometry.

Results
Final energy (eV/cell): -59.59
DOS at the Fermi energy (states/eV per atom): 0.000
Density (g/cm³): 4.41
Formation energy from raw total energies (kJ/mol of atoms): -141.10

a = 7.0672 Å, b = 7.0672 Å, c = 7.1158 Å
α = 99.52°, β = 99.52°, γ = 120.02°
Closest atoms and distances in Å follow each position.
Element x y z (fractional)
S 0.7414 0.7414 0.2323  2 Sm 2.82, 1 Bi 2.84, 3 Na 2.94-2.95
S 0.5864 0.9223 0.7671  2 Sm 2.82, 1 Bi 2.84, 3 Na 2.97
S 0.4136 0.0777 0.2329  2 Sm 2.82, 1 Bi 2.84, 3 Na 2.97
S 0.9223 0.5864 0.7671  2 Sm 2.82, 1 Bi 2.84, 3 Na 2.97
S 0.2586 0.2586 0.7677  2 Sm 2.82, 1 Bi 2.84, 3 Na 2.94-2.95
S 0.0777 0.4136 0.2329  2 Sm 2.82, 1 Bi 2.84, 3 Na 2.97
Bi 0.0000 0.0000 0.0000  6 S 2.84
Sm 0.6670 0.3330 0.0000  6 S 2.82
Sm 0.3330 0.6670 0.0000  6 S 2.82
Na 0.8366 0.1634 0.5000  6 S 2.94-2.97
Na 0.5000 0.5000 0.5000  6 S 2.95-2.97
Na 0.1634 0.8366 0.5000  6 S 2.94-2.97

***

# 9
VASP calculation (PBE) on crystalline Ce2ErAuC at its relaxed geometry.

Results
Final energy (eV/cell): -30.52
Calculated formation energy (eV/atom): -0.3169
DOS at the Fermi energy (states/eV per atom): 1.962
Density (g/cm³): 9.46

a = 4.8841 Å, b = 4.8840 Å, c = 4.8290 Å
α = 90.00°, β = 90.00°, γ = 90.00°
Closest atoms and distances in Å follow each position.
Element x y z (fractional)
Au 0.5000 0.5000 0.4998  8 Ce 3.43-3.44, 4 Er 3.45
Ce 0.5000 0.0000 0.0000  2 C 2.44
Ce 0.0000 0.5000 0.0001  2 C 2.44
C 0.0000 0.0000 0.0001  2 Er 2.41, 4 Ce 2.44
Er 0.0000 0.0000 0.5000  2 C 2.41

***

# 10
VASP calculation (PBE) on crystalline Sn2HIr at its relaxed geometry.

Results
Final energy (eV/cell): -19.16
DOS at the Fermi energy (states/eV per atom): 0.686
Density (g/cm³): 10.69
Relative energy among the computed polymorphs (kJ/mol of formula units): 0

a = 4.5571 Å, b = 4.5571 Å, c = 4.5571 Å
α = 60.00°, β = 60.00°, γ = 60.00°
Closest atoms and distances in Å follow each position.
Element x y z (fractional)
H 0.0000 0.0000 0.0000  8 Sn 2.79
Sn 0.2500 0.2500 0.2500  4 Ir 2.79, 4 H 2.79
Sn 0.7500 0.7500 0.7500  4 Ir 2.79, 4 H 2.79
Ir 0.5000 0.5000 0.5000  8 Sn 2.79

***

# 11
VASP calculation (PBE) on crystalline Tl3ZnBr6 at its relaxed geometry.

Results
Final energy (eV/cell): -25.53
DOS at the Fermi energy (states/eV per atom): 0.267
Density (g/cm³): 5.79
Formation energy from raw total energies (kJ/mol of atoms): -68.66
Relative energy among the computed polymorphs (kJ/mol of formula units): 43

a = 7.7642 Å, b = 7.8558 Å, c = 7.6795 Å
α = 119.42°, β = 120.37°, γ = 90.00°
Closest atoms and distances in Å follow each position.
Element x y z (fractional)
Tl 0.7553 0.2781 0.5106  5 Br 3.41-3.45
Tl 0.0000 0.0000 0.0000  6 Br 2.98-2.99
Tl 0.2447 0.7219 0.4894  5 Br 3.41-3.45
Br 0.7316 0.8179 0.4633  1 Zn 2.63
Br 0.6871 0.6835 0.9002  1 Zn 2.64
Br 0.2684 0.1821 0.5367  1 Zn 2.63
Br 0.7870 0.3165 0.0998  1 Zn 2.64
Br 0.3129 0.3165 0.0998  1 Zn 2.64
Br 0.2130 0.6835 0.9002  1 Zn 2.64
Zn 0.5000 0.5000 0.0000  6 Br 2.63-2.64

***

# 12
VASP calculation (PBE) on crystalline CaZrSbP2 at its relaxed geometry.

Results
Final energy (eV/cell): -22.28
DOS at the Fermi energy (states/eV per atom): 0.898
Density (g/cm³): 3.56
Formation energy from raw total energies (kJ/mol of atoms): 62.04

a = 5.2484 Å, b = 5.3380 Å, c = 5.2484 Å
α = 90.00°, β = 90.00°, γ = 90.00°
Closest atoms and distances in Å follow each position.
Element x y z (fractional)
Ca 0.5000 0.5000 0.5000  4 Zr 3.71, 8 P 3.74
P 0.0000 0.0000 0.5000  2 Sb 2.62
P 0.5000 0.0000 0.0000  2 Sb 2.62
Zr 0.0000 0.5000 0.0000  2 Sb 2.67
Sb 0.0000 0.0000 0.0000  4 P 2.62, 2 Zr 2.67